Below is BeHgRh2 after structural relaxation, with properties calculated at the PBE-GGA level.

Cell: 2.8752 3.3590 6.2876 Å, 90.00 103.14 90.00°
With the nearest neighbours (Å) after each atom.
Element x y z (fractional)
Be  0.0000  0.0000  0.0000  5 Rh 2.28-2.30
Hg  0.1649  0.5000  0.3274  2 Be 2.62, 4 Rh 2.86, 2 Hg 2.88
Rh  0.4539  0.5000  0.9071  4 Be 2.28
Rh  0.8129  0.0000  0.6247  1 Be 2.30

## Properties
distance to the lowest polymorph of the same formula	14.85	kJ/mol of atoms